The following is a PBE calculation of a geometry-optimized Zr4Ag3 structure, from OQMD via LeMat-Bulk.

Summary:
E above lowest polymorph = 0.0 kJ/mol of atoms
Total magnetic moment = 0.053 μB per cell
Uncorrected energy = -6.06 eV/atom
Formation enthalpy at 0 K = 33.5 meV per atom

a = 8.1912 Å, b = 8.1912 Å, c = 4.9456 Å
α = 90.00°, β = 90.00°, γ = 120.00°
Space group P6_3/m (No. 176)
One atom of each set of equivalent atoms:
Zr1 0.1006 0.6362 0.2500 (multiplicity 6)
Zr2 0.3333 0.6667 0.7500 (multiplicity 2)
Ag1 0.0465 0.8157 0.7500 (multiplicity 6)